The following is a DFT calculation (SCAN) of a crystal of La2ZrCo relaxed with PBEsol.

* ΔE_f: 0.126 eV per atom
* energy: -33.427 eV/atom

Cell: 3.651 3.651 9.193 Å, 78.55 78.55 60.00°
Fractional coordinates of all 4 atoms:
Co  0.243  0.243  0.270
La  0.973  0.973  0.082
La  0.758  0.758  0.725
Zr  0.526  0.526  0.423